## LaPm4Sm2 (PBE)

Data for LaPm4Sm2 after structural relaxation.

a b c (Å): 6.8995 6.8987 8.5251
angles (deg): 51.85 51.84 76.32
With the nearest neighbours (Å) after each atom.
Sites, in units of the cell vectors:
La  0.0000  0.0000  0.0000  8 Pm 3.64-3.81
Pm  0.2404  0.6393  0.7596  4 Sm 3.33-3.72, 4 Pm 3.50-3.57, 1 La 3.65
Pm  0.3623  0.7623  0.2377  4 Sm 3.32-3.72, 4 Pm 3.50-3.57, 1 La 3.64
Pm  0.6393  0.2404  0.3607  4 Sm 3.33-3.72, 4 Pm 3.50-3.57, 1 La 3.65
Pm  0.7623  0.3623  0.6377  4 Sm 3.32-3.72, 4 Pm 3.50-3.57, 1 La 3.64
Sm  0.2511  0.2511  0.2489  8 Pm 3.32-3.72, 2 Sm 3.36
Sm  0.7511  0.7511  0.7489  8 Pm 3.32-3.72, 2 Sm 3.36

Properties
- excess energy over the best structure of this formula in the dataset (eV/atom) = 0.1312
- E_form (eV per formula unit) = 1.2
- crystal system = orthorhombic